DFT (PBE-GGA) results for an optimized crystal structure of LaBe2Ru.

abc: 3.131 3.131 6.662
angles: 90.00 90.00 90.00
Element x y z (fractional)
Ru 0.500 0.500 0.842
Be 0.000 0.000 0.976
Be 0.500 0.500 0.162
La 0.000 0.000 0.520

Results
Offset from the most stable computed form in eV/atom: 0.316
Formation energy in eV/f.u.: 0.50
Space group: P4mm (99)